Entry 1:
DFT (GGA+U) results for a relaxed NaTb2MnO5 crystal.

Total magnetization in μB/cell: 8.0
Electronic total energy in eV/cell: -132.2

The structure in POSCAR format:
```
NaTb2MnO5
1.0
6.506 0.000 0.000
0.000 6.506 0.000
0.000 0.000 5.719
Na Tb Mn O
2 4 2 10
Cartesian
0.000 0.000 0.000
3.253 3.253 0.000
1.157 2.096 2.859
2.096 5.348 2.859
4.410 1.157 2.859
5.348 4.410 2.859
0.000 3.253 0.000
3.253 0.000 0.000
0.000 0.000 2.859
0.898 4.151 1.396
0.898 4.151 4.323
2.355 0.898 1.396
2.355 0.898 4.323
3.253 3.253 2.859
4.151 5.608 1.396
4.151 5.608 4.323
5.608 2.355 1.396
5.608 2.355 4.323
```

***

Entry 2:
DFT (GGA+U) results for a relaxed NaTbMn4O12 crystal.

Total magnetization in μB/cell: 15.2
Electronic total energy in eV/cell: -116.9

The structure in POSCAR format:
```
NaTbMn4O12
1.0
5.304 0.000 0.000
0.000 5.304 0.000
0.000 0.000 7.570
Na Tb Mn O
1 1 4 12
Cartesian
0.000 0.000 0.000
2.652 2.652 3.785
0.000 2.652 1.834
0.000 2.652 5.736
2.652 0.000 1.834
2.652 0.000 5.736
0.000 2.652 0.000
0.000 2.652 3.785
1.385 1.385 2.060
1.385 1.385 5.510
1.385 3.920 2.060
1.385 3.920 5.510
2.652 0.000 0.000
2.652 0.000 3.785
3.920 1.385 2.060
3.920 1.385 5.510
3.920 3.920 2.060
3.920 3.920 5.510
```

***

Entry 3:
DFT (GGA+U) results for a relaxed Na4Tb3MnO8 crystal.

Total magnetization in μB/cell: 3.9
Electronic total energy in eV/cell: -105.6

The structure in POSCAR format:
```
Na4Tb3MnO8
1.0
5.926 -3.325 0.000
5.926 3.325 0.000
-3.781 0.000 5.588
Na Tb Mn O
4 3 1 8
Cartesian
0.000 0.000 0.000
2.963 1.662 0.000
2.963 -1.662 0.000
5.926 0.000 0.000
-1.890 0.000 2.794
1.073 1.662 2.794
1.073 -1.662 2.794
4.035 0.000 2.794
0.056 0.000 3.982
1.846 0.000 1.453
3.148 1.472 3.876
4.923 1.472 1.712
3.148 -1.472 3.876
4.923 -1.472 1.712
6.225 0.000 4.135
8.014 0.000 1.606
```

***

Entry 4:
DFT (GGA+U) results for a relaxed NaTbMnWO6 crystal.

Total magnetization in μB/cell: 10.0
Electronic total energy in eV/cell: -148.9

The structure in POSCAR format:
```
NaTbMnWO6
1.0
5.484 0.000 0.000
0.000 5.675 0.000
-0.011 0.000 8.002
Na Tb Mn W O
2 2 2 2 12
Cartesian
1.347 0.000 3.995
4.126 2.838 4.007
1.273 5.130 7.988
4.200 2.292 0.014
1.374 2.612 5.930
4.099 5.450 2.072
1.440 2.667 2.044
4.033 5.504 5.958
0.154 0.915 6.561
0.373 1.103 1.424
0.936 2.440 3.835
1.992 2.899 0.050
2.247 4.397 2.264
2.388 4.567 5.811
3.085 1.729 2.191
3.226 1.559 5.738
3.481 0.061 7.952
4.537 5.278 4.167
5.100 3.941 6.578
5.319 3.753 1.441
```

***

Entry 5:
DFT (GGA+U) results for a relaxed NaTbMnWO6 crystal.

Total magnetization in μB/cell: 5.0
Electronic total energy in eV/cell: -71.7

The structure in POSCAR format:
```
NaTbMnWO6
1.0
0.000 4.004 4.004
4.004 0.000 4.004
4.004 4.004 0.000
Na Tb Mn W O
1 1 1 1 6
Cartesian
0.000 0.000 0.000
4.004 4.004 4.004
6.006 6.006 6.006
2.002 2.002 2.002
2.002 2.002 0.073
2.002 0.073 2.002
3.931 2.002 2.002
0.073 2.002 2.002
2.002 3.931 2.002
2.002 2.002 3.931
```

***

Entry 6:
DFT (GGA+U) results for a relaxed Na3Mn3TcO8 crystal.

Total magnetization in μB/cell: 15.0
Electronic total energy in eV/cell: -100.3

The structure in POSCAR format:
```
Na3Mn3TcO8
1.0
5.609 -2.991 0.000
5.609 2.991 0.000
-3.521 0.000 5.467
Na Mn Tc O
3 3 1 8
Cartesian
0.000 0.000 0.000
2.805 1.495 0.000
2.805 -1.495 0.000
1.044 1.495 2.734
1.044 -1.495 2.734
3.849 0.000 2.734
-1.760 0.000 2.734
-0.007 0.000 3.727
3.085 1.463 3.829
1.762 0.000 1.653
4.612 1.463 1.639
3.085 -1.463 3.829
5.936 0.000 3.814
4.612 -1.463 1.639
7.705 0.000 1.740
```

***

Entry 7:
DFT (GGA+U) results for a relaxed NaMnTc2O8 crystal.

Total magnetization in μB/cell: 4.0
Electronic total energy in eV/cell: -86.3

The structure in POSCAR format:
```
NaMnTc2O8
1.0
2.900 1.675 8.301
-2.900 1.675 8.301
0.000 -3.349 8.301
Na Mn Tc O
1 1 2 8
Cartesian
0.000 0.000 0.000
0.000 0.000 12.452
0.000 0.000 6.027
0.000 0.000 18.877
-1.459 -0.842 11.158
0.000 0.000 7.782
0.000 -1.684 13.746
-1.459 0.842 13.746
1.459 -0.842 11.159
0.000 1.684 11.159
0.000 0.000 17.122
1.459 0.842 13.746
```

***

Entry 8:
DFT (GGA+U) results for a relaxed Na2Mn2TcO6 crystal.

Total magnetization in μB/cell: 11.0
Electronic total energy in eV/cell: -75.0

The structure in POSCAR format:
```
Na2Mn2TcO6
1.0
2.793 -4.477 0.000
2.793 4.477 0.000
-2.057 0.000 5.530
Na Mn Tc O
2 2 1 6
Cartesian
2.793 2.902 0.000
2.793 -2.902 0.000
1.765 1.484 2.765
1.765 -1.484 2.765
-1.028 0.000 2.765
-0.293 1.552 3.875
0.792 0.000 1.813
-0.293 -1.552 3.875
3.823 1.552 1.655
2.738 0.000 3.717
3.823 -1.552 1.655
```

***

Entry 9:
DFT (GGA+U) results for a relaxed Na2MnTeO4 crystal.

Total magnetization in μB/cell: 10.0
Electronic total energy in eV/cell: -88.0

The structure in POSCAR format:
```
Na2MnTeO4
1.0
-3.332 3.349 4.688
3.332 -3.349 4.688
3.332 3.349 -4.688
Na Mn Te O
4 2 2 8
Cartesian
0.000 0.000 0.000
-1.666 1.674 2.344
0.000 3.349 0.000
1.666 1.674 2.344
1.666 1.674 -2.344
1.666 -1.674 2.344
3.332 0.000 0.000
0.000 0.000 4.688
3.332 -0.148 2.169
1.793 1.674 -0.069
4.870 1.674 -0.069
3.332 3.201 -2.169
0.000 0.148 6.857
-1.538 1.674 4.758
1.538 1.674 4.758
0.000 3.497 2.520
```

***

Entry 10:
DFT (GGA+U) results for a relaxed NaMnTe2O6 crystal.

Total magnetization in μB/cell: 4.0
Electronic total energy in eV/cell: -57.5

The structure in POSCAR format:
```
NaMnTe2O6
1.0
5.500 0.000 0.000
2.662 5.047 0.000
2.748 1.315 5.793
Na Mn Te O
1 1 2 6
Cartesian
0.000 0.000 0.000
5.484 3.314 1.320
2.749 1.618 1.124
8.233 4.855 3.375
3.833 3.637 2.379
2.383 0.089 0.040
4.366 2.156 0.156
6.589 4.536 2.437
6.028 1.365 2.420
7.067 2.879 0.219
```

***

Entry 11:
DFT (GGA+U) results for a relaxed Na3Mn4Te2O12 crystal.

Total magnetization in μB/cell: 76.0
Electronic total energy in eV/cell: -526.0

The structure in POSCAR format:
```
Na3Mn4Te2O12
1.0
9.615 0.000 0.000
0.000 9.353 0.000
0.000 0.000 11.196
Na Mn Te O
12 16 8 48
Cartesian
2.293 2.338 1.734
2.386 5.447 1.636
2.386 8.582 1.636
2.421 0.771 7.234
2.421 3.906 7.234
2.514 7.015 7.332
7.100 2.338 3.863
7.194 5.447 3.962
7.194 8.582 3.962
7.228 0.771 9.560
7.228 3.906 9.560
7.322 7.015 9.461
0.677 5.490 4.344
0.677 8.539 4.344
0.808 5.452 9.985
0.808 8.578 9.985
3.999 0.775 4.387
3.999 3.901 4.387
4.130 0.814 9.942
4.130 3.862 9.942
5.485 5.490 1.254
5.485 8.539 1.254
5.615 5.452 6.808
5.615 8.578 6.808
8.807 0.775 1.210
8.807 3.901 1.210
8.937 0.814 6.852
8.937 3.862 6.852
0.553 2.338 4.300
0.801 2.338 10.036
4.006 7.015 4.438
4.254 7.015 9.898
5.361 2.338 1.298
5.608 2.338 6.758
8.814 7.015 1.160
9.061 7.015 6.896
0.129 7.015 8.777
0.247 0.894 8.821
0.247 3.783 8.821
0.732 5.583 6.526
0.732 8.446 6.526
0.852 2.338 6.242
0.989 7.015 0.296
1.213 0.867 0.085
1.213 3.809 0.085
1.870 0.948 3.844
1.870 3.728 3.844
2.178 7.015 3.726
2.630 2.338 9.324
2.937 5.624 9.442
2.937 8.405 9.442
3.594 5.544 5.682
3.594 8.486 5.682
3.819 2.338 5.894
3.955 7.015 0.644
4.075 0.906 0.928
4.075 3.770 0.928
4.561 5.570 3.223
4.561 8.459 3.223
4.678 2.338 3.179
4.936 7.015 8.017
5.054 0.894 7.972
5.054 3.783 7.972
5.539 5.583 10.268
5.539 8.446 10.268
5.659 2.338 10.552
5.796 7.015 5.302
6.021 0.867 5.513
6.021 3.809 5.513
6.678 0.948 1.753
6.678 3.728 1.753
6.985 7.015 1.871
7.437 2.338 7.469
7.744 5.624 7.351
7.744 8.405 7.351
8.401 5.544 11.111
8.401 8.486 11.111
8.626 2.338 10.900
8.763 7.015 4.954
8.883 0.906 4.670
8.883 3.770 4.670
9.368 5.570 2.375
9.368 8.459 2.375
9.486 2.338 2.419
```

***

Entry 12:
DFT (GGA+U) results for a relaxed Na2MnTeO6 crystal.

Total magnetization in μB/cell: 3.1
Electronic total energy in eV/cell: -55.2

The structure in POSCAR format:
```
Na2MnTeO6
1.0
5.491 0.000 0.000
0.000 5.491 0.000
0.000 0.000 3.901
Na Mn Te O
2 1 1 6
Cartesian
0.000 2.746 0.000
2.746 0.000 0.000
0.000 0.000 1.950
2.746 2.746 1.950
0.000 0.000 0.000
1.395 1.395 1.950
1.395 4.097 1.950
2.746 2.746 0.000
4.097 1.395 1.950
4.097 4.097 1.950
```